KDyMnSe3: optimized geometry, GGA-PBE.

Lattice parameters (Å, degrees): 9.0590 4.2180 9.8764 90.00 107.39 90.00
Closest atoms and distances in Å follow each position.
Fractional coordinates of all 12 atoms:
K1 0.2062 0.2500 0.2319  7 Se 3.36-3.68
K2 0.7938 0.7500 0.7681  7 Se 3.36-3.68
Dy1 0.3325 0.7500 0.8601  6 Se 2.83-3.05
Dy2 0.6675 0.2500 0.1399  6 Se 2.83-3.05
Mn1 0.0864 0.2500 0.6089  4 Se 2.46-2.62
Mn2 0.9136 0.7500 0.3911  4 Se 2.46-2.62
Se1 0.1118 0.2500 0.8636  1 Mn 2.46
Se2 0.2079 0.7500 0.5374  3 Mn 2.57-2.62
Se3 0.4605 0.7500 0.1590  3 Dy 2.83-2.87
Se4 0.5395 0.2500 0.8410  3 Dy 2.83-2.87
Se5 0.7921 0.2500 0.4626  3 Mn 2.57-2.62
Se6 0.8882 0.7500 0.1364  1 Mn 2.46

Output
Total magnetic moment: 5.004 μB per formula unit
Total energy: -5.516 eV/atom